An optimized crystal structure of Ba2Mn2ClF7. Source: the Alexandria database, functional GGA+U.

Unit cell a=8.0131 b=6.0068 c=9.1676 alpha=90.00 beta=107.32 gamma=90.00
With the nearest neighbours (Å) after each atom.
Space group P2_1/m (No. 11)
Inequivalent atoms, fractional coordinates:
Ba 0.1572 0.2500 0.4101  6 F 2.68-2.72
Ba 0.1863 0.2500 0.9260  10 F 2.80-3.09
Mn 0.3176 0.7500 0.1748  5 F 2.09-2.15
Mn 0.3285 0.7500 0.7372  5 F 2.09-2.14
Cl 0.3866 0.7500 0.4720  2 Mn 2.61
F 0.1251 0.5025 0.1618  1 Mn 2.12
F 0.1365 0.0041 0.6529  1 Mn 2.14
F 0.2297 0.7500 0.9294  2 Mn 2.14-2.15
F 0.4891 0.0055 0.1605  2 Mn 2.09

Computed properties:
Raw total energy   -5.93 eV per atom